Entry 1:
Compound: TlAsPbF6
Source: the Alexandria database
Functional: GGA-PBE
Structure: relaxed

Lattice parameters (Å, degrees): 6.6194 6.6201 4.3730 90.00 90.00 59.98
Sites, in units of the cell vectors:
1 Tl 0.9999 0.0000 0.9218
2 As 0.3332 0.3334 0.5608
3 Pb 0.6665 0.6667 0.3938
4 F 0.1318 0.2907 0.3151
5 F 0.4081 0.9437 0.7260
6 F 0.6482 0.4083 0.7261
7 F 0.9438 0.6481 0.7258
8 F 0.2907 0.5775 0.3151
9 F 0.5776 0.1317 0.3154

## Properties
space-group type: P3, No. 143
crystal system: trigonal
electronic total energy: -4.573 eV per atom



Entry 2:
Compound: Tb2GaSn4
Source: the Alexandria database
Functional: GGA-PBE
Structure: relaxed

Lattice parameters (Å, degrees): 4.4318 4.4318 9.3758 90.00 90.00 90.00
Sites, in units of the cell vectors:
1 Tb 0.5000 0.0000 0.7654
2 Tb 0.0000 0.5000 0.2346
3 Ga 0.5000 0.5000 0.0000
4 Sn 0.5000 0.0000 0.1794
5 Sn 0.0000 0.5000 0.8206
6 Sn 0.5000 0.5000 0.5000
7 Sn 0.0000 0.0000 0.5000

## Properties
space-group type: P-4m2, No. 115
E_form: -0.440 eV/atom
crystal system: tetragonal
electronic total energy: -4.482 eV per atom



Entry 3:
Compound: BaNaPb2Au4
Source: the Alexandria database
Functional: GGA-PBE
Structure: relaxed

Lattice parameters (Å, degrees): 5.0308 5.0308 9.9119 75.30 75.30 60.00
Sites, in units of the cell vectors:
1 Ba 0.0000 0.0000 0.0000
2 Na 0.5000 0.5000 0.5000
3 Pb 0.7631 0.7631 0.7108
4 Pb 0.2369 0.2369 0.2892
5 Au 0.3962 0.3962 0.8114
6 Au 0.8684 0.8684 0.3947
7 Au 0.1316 0.1316 0.6053
8 Au 0.6038 0.6038 0.1886

## Properties
space-group type: R-3m, No. 166
E_form: -0.356 eV/atom
crystal system: trigonal
electronic total energy: -3.327 eV per atom



Entry 4:
Compound: SrTiInF6
Source: the Alexandria database
Functional: GGA-PBE
Structure: relaxed

Lattice parameters (Å, degrees): 6.0912 6.1327 5.4225 91.04 90.48 59.70
Site moments in Bohr magnetons follow the coordinates.
Sites, in units of the cell vectors:
1 Sr 0.6693 0.6651 0.4998  0.00
2 Ti 0.3340 0.3331 0.5000  -0.91
3 In 0.9724 0.0133 0.9998  0.00
4 F 0.0496 0.3463 0.2926  -0.01
5 F 0.3527 0.0630 0.6986  0.01
6 F 0.6100 0.3486 0.7058  -0.01
7 F 0.0485 0.6048 0.7075  -0.01
8 F 0.3525 0.5847 0.3016  0.01
9 F 0.6107 0.0411 0.2942  -0.01

## Properties
space-group type: C2, No. 5
crystal system: monoclinic
electronic total energy: -5.723 eV per atom



Entry 5:
Compound: LiAgPS4
Source: the Alexandria database
Functional: GGA-PBE
Structure: relaxed

Lattice parameters (Å, degrees): 6.6299 6.6299 7.6162 90.00 90.00 121.18
Sites, in units of the cell vectors:
1 Li 0.5000 0.5000 0.5000
2 Li 0.5000 0.5000 0.0000
3 Ag 0.8580 0.1420 0.2500
4 Ag 0.1420 0.8580 0.7500
5 P 0.1492 0.8508 0.2500
6 P 0.8508 0.1492 0.7500
7 S 0.2110 0.2805 0.7500
8 S 0.7195 0.7890 0.7500
9 S 0.7447 0.2553 0.9655
10 S 0.7447 0.2553 0.5345
11 S 0.2553 0.7447 0.0345
12 S 0.2553 0.7447 0.4655
13 S 0.7890 0.7195 0.2500
14 S 0.2805 0.2110 0.2500

## Properties
space-group type: Cmcm, No. 63
crystal system: orthorhombic
electronic total energy: -4.129 eV per atom



Entry 6:
Compound: InSi2Ni2
Source: the Alexandria database
Functional: GGA-PBE
Structure: relaxed

Lattice parameters (Å, degrees): 7.4073 7.4073 2.6003 90.00 90.00 90.00
Sites, in units of the cell vectors:
1 Ni 0.1623 0.6623 0.5000
2 Ni 0.6623 0.8377 0.5000
3 Ni 0.8377 0.3377 0.5000
4 Ni 0.3377 0.1623 0.5000
5 Si 0.3755 0.8755 0.0000
6 Si 0.8755 0.6245 0.0000
7 Si 0.6245 0.1245 0.0000
8 Si 0.1245 0.3755 0.0000
9 In 0.0000 0.0000 0.0000
10 In 0.5000 0.5000 0.0000

## Properties
space-group type: P4/mbm, No. 127
crystal system: tetragonal
electronic total energy: -5.063 eV per atom



Entry 7:
Compound: AcHPt
Source: the Alexandria database
Functional: GGA-PBE
Structure: relaxed

Lattice parameters (Å, degrees): 3.7849 4.2747 4.2747 120.00 90.00 90.00
Sites, in units of the cell vectors:
1 H 0.1689 0.3333 0.6667
2 Ac 0.6653 0.6667 0.3333
3 Pt 0.1658 0.0000 0.0000

## Properties
space-group type: P3m1, No. 156
crystal system: trigonal
electronic total energy: -5.085 eV per atom



Entry 8:
Compound: KZrP2
Source: the Alexandria database
Functional: GGA-PBE
Structure: relaxed

Lattice parameters (Å, degrees): 3.5803 3.5803 7.0053 90.00 90.00 90.00
Site moments in Bohr magnetons follow the coordinates.
Sites, in units of the cell vectors:
1 K 0.5000 0.5000 0.7500  0.02
2 P 0.0000 0.0000 0.0862  0.00
3 P 0.0000 0.0000 0.4138  0.00
4 Zr 0.5000 0.5000 0.2500  0.32

## Properties
space-group type: P4/mmm, No. 123
E_form: -0.608 eV/atom
crystal system: tetragonal
electronic total energy: -5.725 eV per atom



Entry 9:
Compound: BeInGeOs2
Source: the Alexandria database
Functional: GGA-PBE
Structure: relaxed

Lattice parameters (Å, degrees): 4.5713 4.8763 4.5713 90.00 90.00 90.00
Sites, in units of the cell vectors:
1 Be 0.5000 0.5000 0.5000
2 Ge 0.0000 0.0000 0.0000
3 Os 0.0000 0.0000 0.5000
4 Os 0.5000 0.0000 0.0000
5 In 0.0000 0.5000 0.0000

## Properties
space-group type: P4/mmm, No. 123
E_form: 1.779 eV/atom
crystal system: tetragonal
electronic total energy: -4.929 eV per atom



Entry 10:
Compound: SrZrSe2
Source: the Alexandria database
Functional: GGA-PBE
Structure: relaxed

Lattice parameters (Å, degrees): 5.7898 5.7898 5.7898 140.84 109.39 83.84
Sites, in units of the cell vectors:
1 Se 0.0379 0.0379 0.0000
2 Se 0.4621 0.4621 0.0000
3 Sr 0.7500 0.2500 0.5000
4 Zr 0.2500 0.7500 0.5000

## Properties
space-group type: Immm, No. 71
crystal system: orthorhombic
electronic total energy: -5.441 eV per atom



Entry 11:
Compound: LaZnNO
Source: the Alexandria database
Functional: GGA-PBE
Structure: relaxed

Lattice parameters (Å, degrees): 3.7059 3.7059 11.0197 90.00 90.00 120.00
Sites, in units of the cell vectors:
1 La 0.6667 0.3333 0.7504
2 La 0.3333 0.6667 0.2504
3 Zn 0.0000 0.0000 0.4920
4 Zn 0.0000 0.0000 0.9920
5 N 0.0000 0.0000 0.1634
6 N 0.0000 0.0000 0.6634
7 O 0.3333 0.6667 0.9065
8 O 0.6667 0.3333 0.4065

## Properties
space-group type: P6_3mc, No. 186
crystal system: hexagonal
electronic total energy: -6.180 eV per atom



Entry 12:
Compound: CePr2Y3Te6
Source: the Alexandria database
Functional: GGA-PBE
Structure: relaxed

Lattice parameters (Å, degrees): 4.3975 8.9852 9.9750 104.13 102.73 90.00
Site moments in Bohr magnetons follow the coordinates.
Sites, in units of the cell vectors:
1 Ce 0.5000 0.0000 0.0000  1.01
2 Pr 0.8330 0.6662 0.6661  0.02
3 Pr 0.1670 0.3338 0.3339  0.02
4 Y 0.5000 0.5000 0.0000  0.01
5 Y 0.8310 0.1646 0.6621  0.01
6 Y 0.1690 0.8354 0.3379  0.01
7 Te 0.3318 0.9245 0.6637  0.00
8 Te 0.6635 0.5917 0.3269  0.00
9 Te 0.6682 0.0755 0.3363  0.00
10 Te 0.9963 0.2554 0.9925  -0.01
11 Te 0.0037 0.7446 0.0075  -0.01
12 Te 0.3365 0.4083 0.6731  0.00

## Properties
space-group type: C2/m, No. 12
crystal system: monoclinic
electronic total energy: -5.849 eV per atom